Record 1
A plane-wave DFT calculation with GGA-PBE was carried out for ErSi2Pt after structural relaxation.

Summary:
**Size of the total moment**: 0.004 μB/cell
**Final energy**: -48.0 eV per cell
**Calculated volume**: 18.6 Å³/atom

```
8
Lattice="4.376 0.000 0.000 0.000 4.526 0.000 0.000 0.000 7.528" Properties=species:S:1:pos:R:3 pbc="T T T"
Si 0.000 3.225 3.837
Si 2.188 0.014 0.303
Si 2.188 4.513 4.067
Si 0.000 1.302 0.073
Er 2.188 2.039 2.226
Er 2.188 2.487 5.990
Pt 0.000 0.966 4.926
Pt 0.000 3.560 1.162
```


Record 2
A plane-wave DFT calculation with GGA-PBE was carried out for Y2HoNi2B2C3 after structural relaxation.

Summary:
**Size of the total moment**: 0.009 μB/cell
**Final energy**: -73.9 eV per cell
**Calculated volume**: 13.1 Å³/atom

```
10
Lattice="-4.764 -9.258 1.313 -7.130 -6.191 4.577 4.266 8.335 -4.738" Properties=species:S:1:pos:R:3 pbc="T T T"
C -5.947 -7.724 2.945
C -10.429 -13.546 5.165
C -1.465 -1.903 0.726
Ni -3.223 -4.323 -0.240
Ni -4.406 -2.790 1.392
Y -4.490 -5.832 2.224
Y -7.404 -9.617 3.667
Ho 0.000 0.000 0.000
B -2.332 -3.029 1.155
B -9.562 -12.420 4.735
```


Record 3
A plane-wave DFT calculation with GGA-PBE was carried out for PrErAsO after structural relaxation.

Summary:
**Size of the total moment**: 0.017 μB/cell
**Final energy**: -53.7 eV per cell
**Calculated volume**: 25.2 Å³/atom

```
8
Lattice="4.367 0.000 0.000 0.000 7.487 0.000 0.000 0.000 6.154" Properties=species:S:1:pos:R:3 pbc="T T T"
O 2.184 1.184 5.366
O 2.184 6.303 2.289
Pr 0.000 2.223 5.750
Pr 0.000 5.263 2.673
Er 2.184 0.801 3.207
Er 2.184 6.686 0.130
As 0.000 5.141 5.702
As 0.000 2.346 2.625
```


Record 4
A plane-wave DFT calculation with GGA-PBE was carried out for NbZnFeBi after structural relaxation.

Summary:
**Size of the total moment**: 0.091 μB/cell
**Final energy**: -21.8 eV per cell
**Calculated volume**: 17.8 Å³/atom

```
4
Lattice="3.753 -2.502 1.136 -0.039 -2.644 3.826 -0.094 -4.635 -0.377" Properties=species:S:1:pos:R:3 pbc="T T T"
Zn 0.905 -2.445 1.146
Bi 0.000 0.000 0.000
Nb 1.810 -4.891 2.293
Fe 2.715 -7.336 3.439
```


Record 5
A plane-wave DFT calculation with GGA-PBE was carried out for LiGaPdPb after structural relaxation.

Summary:
**Final energy**: -15.0 eV per cell
**Calculated volume**: 18.2 Å³/atom

```
4
Lattice="0.613 -2.602 3.847 1.171 2.045 4.049 -3.109 0.222 3.498" Properties=species:S:1:pos:R:3 pbc="T T T"
Pb -0.662 -0.167 5.697
Ga 0.000 0.000 0.000
Li -0.994 -0.251 8.546
Pd -0.331 -0.084 2.849
```


Record 6
A plane-wave DFT calculation with GGA-PBE was carried out for SrAu after structural relaxation.

Summary:
**Final energy**: -6.3 eV per cell
**Calculated volume**: 32.2 Å³/atom

```
2
Lattice="-3.382 -2.277 1.903 -3.497 -1.337 -2.496 -0.569 -4.368 -0.919" Properties=species:S:1:pos:R:3 pbc="T T T"
Au 0.000 0.000 0.000
Sr -3.724 -3.991 -0.756
```